[1]
This record from the Alexandria database describes an optimized crystal structure of Pm2Ni2Rh. The functional is PBE-GGA.

* space group: C2/m, No. 12
* formation enthalpy at 0 K: -432 meV/atom
* offset from the most stable computed form: 0 meV per atom
* density: 8.22 Mg/m³

Structure (extended XYZ):
```
10
Lattice="5.233 -2.055 0.000 5.233 2.055 0.000 -4.637 0.000 9.584" Properties=species:S:1:pos:R:3 pbc="T T T"
Pm -0.807 0.000 3.789
Pm -0.822 0.000 8.242
Pm 6.652 0.000 1.342
Pm 6.638 0.000 5.795
Ni -3.838 0.000 8.762
Ni 2.159 0.000 3.810
Ni 3.671 0.000 5.774
Ni 9.668 0.000 0.822
Rh 3.568 0.000 1.782
Rh 2.262 0.000 7.802
```

=====

[2]
This record from the Alexandria database describes an optimized crystal structure of Pm6NiRh2. The functional is PBE-GGA.

* space group: P2_1/c, No. 14
* formation enthalpy at 0 K: -415 meV/atom
* offset from the most stable computed form: 0 meV per atom
* density: 7.57 Mg/m³

Structure (extended XYZ):
```
18
Lattice="6.659 0.000 0.000 0.000 7.391 0.000 -6.277 0.000 10.108" Properties=species:S:1:pos:R:3 pbc="T T T"
Pm -0.966 0.361 2.555
Pm -4.105 3.335 7.609
Pm 1.188 4.983 0.757
Pm -1.951 6.104 5.811
Pm 2.248 1.328 0.688
Pm -0.890 2.367 5.742
Pm 1.272 5.024 4.365
Pm -1.867 6.063 9.419
Pm 2.332 1.287 4.297
Pm -0.806 2.408 9.351
Pm 4.487 4.056 2.499
Pm 1.348 7.030 7.553
Ni 0.000 0.000 0.000
Ni -3.139 3.695 5.054
Rh -2.677 0.856 7.732
Rh 0.462 2.839 2.678
Rh -0.080 4.552 7.429
Rh 3.058 6.534 2.375
```

=====

[3]
This record from the Alexandria database describes an optimized crystal structure of Pm2Ni15Rh2. The functional is PBE-GGA.

* space group: R-3m, No. 166
* formation enthalpy at 0 K: -176 meV/atom
* density: 9.10 Mg/m³

Structure (extended XYZ):
```
19
Lattice="4.210 2.431 4.090 -4.210 2.431 4.090 0.000 -4.861 4.090" Properties=species:S:1:pos:R:3 pbc="T T T"
Pm 0.000 0.000 1.930
Pm 0.000 0.000 10.340
Ni -2.105 -1.215 4.090
Ni 0.000 -2.440 3.954
Ni -2.113 1.220 3.954
Ni -1.238 -2.144 6.135
Ni -2.476 0.000 6.135
Ni -2.113 -1.220 8.316
Ni -2.105 1.215 8.181
Ni 1.238 -2.144 6.135
Ni 0.000 2.431 4.090
Ni -1.238 2.144 6.135
Ni 2.113 1.220 3.954
Ni 2.476 0.000 6.135
Ni 1.238 2.144 6.135
Ni 2.113 -1.220 8.316
Ni 0.000 2.440 8.316
Rh 0.000 0.000 4.869
Rh 0.000 0.000 7.402
```